<i>
Entry from the Alexandria database: a relaxed CaCuSbI2 crystal (PBE-GGA).

Unit cell a=5.8947 b=5.8947 c=6.2892 alpha=90.00 beta=90.00 gamma=90.00
Last column: nearest neighbours and their distance in Å.
Element x y z (fractional)
Ca1 0.0000 0.0000 0.0000  4 I 2.95, 2 Sb 3.14
Cu1 0.5000 0.5000 0.5000  4 Sb 4.17, 8 I 4.31
I1 0.0000 0.5000 0.0000  2 Ca 2.95
I2 0.5000 0.0000 0.0000  2 Ca 2.95
Sb1 0.0000 0.0000 0.5000  2 Ca 3.14

Calculated values
Calculated volume in Å³/f.u.: 218.5
Density of states at the Fermi level in states/eV/cell: 8.05

***

<ii>
Entry from the Alexandria database: a relaxed CaCuSbI2 crystal (PBE-GGA).

Unit cell a=5.4554 b=5.4554 c=5.2554 alpha=90.00 beta=90.00 gamma=90.00
Last column: nearest neighbours and their distance in Å.
Element x y z (fractional)
I1 0.0000 0.5000 0.0000  2 Cu 2.73
I2 0.5000 0.0000 0.0000  2 Cu 2.73
Sb1 0.0000 0.0000 0.5000  2 Cu 2.63
Cu1 0.0000 0.0000 0.0000  2 Sb 2.63, 4 I 2.73
Ca1 0.5000 0.5000 0.5000  8 I 3.79, 4 Sb 3.86

Calculated values
Calculated volume in Å³/f.u.: 156.4
Density of states at the Fermi level in states/eV/cell: 5.80

***

Structures ranked by computed energy, the most stable listed first: <ii>, <i>.

***

<i>
Entry from the Alexandria database: a relaxed CaCuTeI2 crystal (PBE-GGA).

Unit cell a=5.3777 b=5.3777 c=5.4689 alpha=90.00 beta=90.00 gamma=90.00
Last column: nearest neighbours and their distance in Å.
Element x y z (fractional)
I1 0.0000 0.5000 0.0000  2 Cu 2.69
I2 0.5000 0.0000 0.0000  2 Cu 2.69
Cu1 0.0000 0.0000 0.0000  4 I 2.69, 2 Te 2.73
Ca1 0.5000 0.5000 0.5000  4 Te 3.80, 8 I 3.83
Te1 0.0000 0.0000 0.5000  2 Cu 2.73

Calculated values
Calculated volume in Å³/f.u.: 158.2
Density of states at the Fermi level in states/eV/cell: 2.10

***

<ii>
Entry from the Alexandria database: a relaxed CaCuTeI2 crystal (PBE-GGA).

Unit cell a=5.9940 b=5.9940 c=6.1572 alpha=90.00 beta=90.00 gamma=90.00
Last column: nearest neighbours and their distance in Å.
Element x y z (fractional)
Ca1 0.0000 0.0000 0.0000  4 I 3.00, 2 Te 3.08
Cu1 0.5000 0.5000 0.5000  4 Te 4.24, 8 I 4.30
Te1 0.0000 0.0000 0.5000  2 Ca 3.08
I1 0.0000 0.5000 0.0000  2 Ca 3.00
I2 0.5000 0.0000 0.0000  2 Ca 3.00

Calculated values
Calculated volume in Å³/f.u.: 221.2
Density of states at the Fermi level in states/eV/cell: 4.64

***

Structures ranked by computed energy, the most stable listed first: <i>, <ii>.

***

<i>
Entry from the Alexandria database: a relaxed CaIn2Cu9 crystal (PBE-GGA).

Unit cell a=5.0724 b=8.4686 c=8.4686 alpha=90.00 beta=90.00 gamma=90.00
Last column: nearest neighbours and their distance in Å.
Element x y z (fractional)
Cu1 0.5000 0.5000 0.0000  8 Cu 2.47-2.55
Cu2 0.5000 0.2945 0.4358  8 Cu 2.55-2.76
Cu3 0.5000 0.4358 0.7055  8 Cu 2.55-2.76
Cu4 0.5000 0.0000 0.5000  8 Cu 2.47-2.55
Cu5 0.2460 0.3240 0.1760  7 Cu 2.47-2.61, 1 In 2.69
Cu6 0.5000 0.7055 0.5642  8 Cu 2.55-2.76
Cu7 0.5000 0.9358 0.7945  8 Cu 2.55-2.76
Cu8 0.7540 0.6760 0.8240  7 Cu 2.47-2.61, 1 In 2.69
Cu9 0.2460 0.8240 0.3240  7 Cu 2.47-2.61, 1 In 2.69
Cu10 0.7540 0.8240 0.3240  7 Cu 2.47-2.61, 1 In 2.69
Cu11 0.7540 0.1760 0.6760  7 Cu 2.47-2.61, 1 In 2.69
Cu12 0.2460 0.1760 0.6760  7 Cu 2.47-2.61, 1 In 2.69
Cu13 0.5000 0.0642 0.2055  8 Cu 2.55-2.76
Cu14 0.5000 0.7945 0.0642  8 Cu 2.55-2.76
Cu15 0.7540 0.3240 0.1760  7 Cu 2.47-2.61, 1 In 2.69
Cu16 0.5000 0.2055 0.9358  8 Cu 2.55-2.76
Cu17 0.5000 0.5642 0.2945  8 Cu 2.55-2.76
Cu18 0.2460 0.6760 0.8240  7 Cu 2.47-2.61, 1 In 2.69
Ca1 0.0000 0.5000 0.5000  16 Cu 3.12-3.36, 4 In 3.35
Ca2 0.0000 0.0000 0.0000  16 Cu 3.12-3.36, 4 In 3.35
In1 0.0000 0.1248 0.3752  12 Cu 2.69-2.96, 1 In 2.99
In2 0.0000 0.6248 0.1248  12 Cu 2.69-2.96, 1 In 2.99
In3 0.0000 0.8752 0.6248  12 Cu 2.69-2.96, 1 In 2.99
In4 0.0000 0.3752 0.8752  12 Cu 2.69-2.96, 1 In 2.99

Calculated values
Calculated volume in Å³/f.u.: 181.9
Density of states at the Fermi level in states/eV/cell: 10.10

***

<ii>
Entry from the Alexandria database: a relaxed CaIn2Cu9 crystal (PBE-GGA).

Unit cell a=5.0843 b=5.0843 c=8.6491 alpha=72.91 beta=72.91 gamma=60.00
Last column: nearest neighbours and their distance in Å.
Element x y z (fractional)
Ca1 0.0000 0.0000 0.0000  18 Cu 2.94-3.27
Cu1 0.6664 0.6664 0.0007  6 Cu 2.52-2.53
Cu2 0.5858 0.5858 0.7475  7 Cu 2.50-2.57
Cu3 0.3336 0.3336 0.9993  6 Cu 2.52-2.53
Cu4 0.4142 0.9191 0.2525  7 Cu 2.50-2.57
Cu5 0.5858 0.0809 0.7475  7 Cu 2.50-2.57
Cu6 0.0809 0.5858 0.7475  7 Cu 2.50-2.57
Cu7 0.5000 0.5000 0.5000  6 Cu 2.50
Cu8 0.4142 0.4142 0.2525  7 Cu 2.50-2.57
Cu9 0.9191 0.4142 0.2525  7 Cu 2.50-2.57
In1 0.8598 0.8598 0.4206  12 Cu 2.89-3.03, 3 In 3.21
In2 0.1402 0.1402 0.5794  12 Cu 2.89-3.03, 3 In 3.21

Calculated values
Calculated volume in Å³/f.u.: 182.1
Density of states at the Fermi level in states/eV/cell: 4.48

***

Structures ranked by computed energy, the most stable listed first: <i>, <ii>.

***

<i>
Entry from the Alexandria database: a relaxed CaCu2Ir crystal (PBE-GGA).

Unit cell a=4.5172 b=4.5172 c=4.5172 alpha=60.00 beta=60.00 gamma=60.00
Last column: nearest neighbours and their distance in Å.
Element x y z (fractional)
Ca1 0.5000 0.5000 0.5000  4 Cu 2.77, 4 Ir 2.77
Ir1 0.7500 0.7500 0.7500  4 Ca 2.77, 4 Cu 2.77
Cu1 0.2500 0.2500 0.2500  4 Ca 2.77, 4 Cu 2.77
Cu2 0.0000 0.0000 0.0000  4 Ir 2.77, 4 Cu 2.77

Calculated values
Calculated volume in Å³/f.u.: 65.2
Density of states at the Fermi level in states/eV/cell: 2.52

***

<ii>
Entry from the Alexandria database: a relaxed CaCu2Ir crystal (PBE-GGA).

Unit cell a=3.1311 b=3.1312 c=6.7482 alpha=90.00 beta=90.00 gamma=89.99
Last column: nearest neighbours and their distance in Å.
Element x y z (fractional)
Cu1 0.5000 0.5000 0.2417  4 Cu 2.51, 4 Ir 2.63
Cu2 0.0000 0.0000 0.0651  4 Cu 2.51, 1 Ir 2.61
Ca1 0.5000 0.5000 0.7415  4 Ir 2.95, 4 Cu 3.11, 4 Ca 3.13
Ir1 0.0000 0.0000 0.4517  5 Cu 2.61-2.63

Calculated values
Calculated volume in Å³/f.u.: 66.2
Density of states at the Fermi level in states/eV/cell: 3.17

***

Structures ranked by computed energy, the most stable listed first: <ii>, <i>.